Here is Ac8Pd3Pt4 after structural relaxation from the Alexandria database. Energies are from PBE.

Geometry as POSCAR:
```
Ac8Pd3Pt4
1.0
1.979 -7.986 3.159
6.043 6.395 0.121
-5.599 5.193 4.373
Ac Pd Pt
8 3 4
direct
0.485 0.241 0.241
0.000 0.757 0.243
0.996 0.242 0.242
0.500 0.752 0.248
0.500 0.248 0.752
0.004 0.758 0.758
0.000 0.243 0.757
0.515 0.759 0.759
0.500 0.500 0.000
0.500 0.000 0.500
0.500 0.500 0.500
0.500 0.000 0.000
0.000 0.500 0.000
0.000 0.000 0.000
0.000 0.000 0.500
```

Results
Space-group type: C2/m, No. 12
DOS(E_F) in states/eV/cell: 9.34
Final energy in eV/cell: -87.0


Here is ScCdRu2 after structural relaxation from the Alexandria database. Energies are from PBE.

Geometry as POSCAR:
```
ScCdRu2
1.0
5.391 -0.005 -0.038
4.501 2.968 -0.038
1.717 0.514 4.209
Cd Ru Sc
1 2 1
direct
0.263 0.263 0.211
0.015 0.015 0.019
0.734 0.734 0.734
0.487 0.487 0.536
```

Results
Space-group type: Cm, No. 8
DOS(E_F) in states/eV/cell: 4.73
Final energy in eV/cell: -26.1


Here is NaB2Cl8 after structural relaxation from the Alexandria database. Energies are from PBE.

Geometry as POSCAR:
```
NaB2Cl8
1.0
-4.917 -1.621 -2.985
-2.368 -6.074 4.342
-5.511 3.525 4.307
Na B Cl
1 2 8
direct
0.000 0.000 0.000
0.649 0.802 0.802
0.351 0.198 0.198
0.289 0.270 0.968
0.711 0.032 0.730
0.348 0.790 0.790
0.652 0.210 0.210
0.289 0.968 0.270
0.711 0.730 0.032
0.849 0.660 0.660
0.151 0.340 0.340
```

Results
Space-group type: C2/m, No. 12
DOS(E_F) in states/eV/cell: 6.72
Final energy in eV/cell: -39.8


Here is PmGeN2Cl after structural relaxation from the Alexandria database. Energies are from PBE.

Geometry as POSCAR:
```
PmGeN2Cl
1.0
3.608 0.000 0.000
0.000 7.152 -0.127
0.000 -1.713 7.915
Pm Ge N Cl
2 2 4 2
direct
0.250 0.708 0.975
0.750 0.292 0.025
0.250 0.549 0.383
0.750 0.451 0.617
0.750 0.625 0.469
0.250 0.375 0.531
0.750 0.520 0.851
0.250 0.480 0.149
0.250 0.029 0.809
0.750 0.971 0.191
```

Results
Space-group type: P2_1/m, No. 11
DOS(E_F) in states/eV/cell: 0.00
Final energy in eV/cell: -64.5


Here is Cd2Ag2I after structural relaxation from the Alexandria database. Energies are from PBE.

Geometry as POSCAR:
```
Cd2Ag2I
1.0
-3.894 -1.145 1.369
-0.929 -1.504 -3.902
0.014 -7.444 0.515
I Ag Cd
1 2 2
direct
0.000 0.000 0.000
0.395 0.395 0.210
0.605 0.605 0.790
0.750 0.250 0.500
0.250 0.750 0.500
```

Results
Space-group type: I4/mmm, No. 139
DOS(E_F) in states/eV/cell: 1.47
Offset from the most stable computed form in meV/atom: 10.1
Final energy in eV/cell: -8.8


Here is RbNbSn2 after structural relaxation from the Alexandria database. Energies are from PBE.

Geometry as POSCAR:
```
RbNbSn2
1.0
-1.084 -0.550 6.468
6.479 -0.504 1.043
3.226 7.949 4.565
Nb Sn Rb
2 4 2
direct
0.000 0.000 0.000
0.750 0.250 0.500
0.870 0.125 0.250
0.880 0.625 0.250
0.375 0.130 0.750
0.875 0.120 0.750
0.500 0.500 0.000
0.250 0.750 0.500
```

Results
Space-group type: I-42d, No. 122
DOS(E_F) in states/eV/cell: 7.38
Offset from the most stable computed form in meV/atom: 159.1
Final energy in eV/cell: -34.6


Here is CaY2Co after structural relaxation from the Alexandria database. Energies are from PBE.

Geometry as POSCAR:
```
CaY2Co
1.0
-3.582 -7.655 0.161
6.629 -3.189 -4.164
2.977 -6.044 0.787
Y Ca Co
4 2 2
direct
0.719 0.125 0.250
0.031 0.625 0.250
0.375 0.281 0.750
0.875 0.969 0.750
0.500 0.500 0.000
0.250 0.750 0.500
0.000 0.000 0.000
0.750 0.250 0.500
```

Results
Space-group type: I-42d, No. 122
DOS(E_F) in states/eV/cell: 5.06
Offset from the most stable computed form in meV/atom: 290.9
Final energy in eV/cell: -42.5


Here is Ca2Cd2Ga after structural relaxation from the Alexandria database. Energies are from PBE.

Geometry as POSCAR:
```
Ca2Cd2Ga
1.0
-0.893 5.476 -2.597
-3.684 1.594 4.627
0.910 5.021 3.049
Ca Ga Cd
2 1 2
direct
0.750 0.250 0.500
0.250 0.750 0.500
0.000 0.000 0.000
0.335 0.335 0.330
0.665 0.665 0.670
```

Results
Space-group type: I4/mmm, No. 139
DOS(E_F) in states/eV/cell: 3.81
Offset from the most stable computed form in meV/atom: 259.3
Final energy in eV/cell: -9.1